Material: Ca3Dy2ErSe6
Method: DFT, PBE
State: optimized geometry

Structure (POSCAR):
```
Ca3Dy2ErSe6
1.0
7.099 0.003 -0.001
-3.546 6.150 -0.001
-1.186 -2.054 6.818
Ca Dy Er Se
3 2 1 6
direct
0.167 0.833 0.500
0.833 0.167 0.500
0.500 0.500 0.500
0.334 0.666 0.000
0.666 0.334 0.000
0.000 0.000 0.000
0.919 0.588 0.756
0.751 0.751 0.245
0.081 0.412 0.244
0.588 0.919 0.756
0.249 0.249 0.755
0.412 0.081 0.244
```

Values from the calculation:
- Total DFT energy (no corrections): -63.07 eV per formula unit
- DOS at the Fermi energy: 4.4 states/eV/f.u.
- Formation energy without anion corrections: -1.866 eV/atom


Material: Ca4DyEr3Se8
Method: DFT, PBE
State: optimized geometry

Structure (POSCAR):
```
Ca4DyEr3Se8
1.0
8.181 0.000 0.000
0.000 8.283 0.066
-4.090 -4.087 5.788
Ca Dy Er Se
4 1 3 8
direct
0.500 0.000 0.000
0.500 0.000 0.500
0.000 0.000 0.000
0.000 0.000 0.500
0.000 0.500 0.000
0.500 0.500 0.000
0.500 0.500 0.500
0.000 0.500 0.500
0.249 0.744 0.995
0.249 0.744 0.498
0.253 0.258 0.505
0.746 0.744 0.995
0.254 0.256 0.005
0.747 0.742 0.495
0.751 0.256 0.502
0.751 0.256 0.005
```

Values from the calculation:
- Total DFT energy (no corrections): -83.88 eV per formula unit
- DOS at the Fermi energy: 5.3 states/eV/f.u.
- Formation energy without anion corrections: -1.857 eV/atom


Material: Ca2DyErSe4
Method: DFT, PBE
State: optimized geometry

Structure (POSCAR):
```
Ca2DyErSe4
1.0
-2.945 2.169 -1.846
-4.216 -0.939 5.625
3.864 6.025 0.916
Ca Dy Er Se
2 1 1 4
direct
0.500 0.000 0.500
0.000 0.500 0.500
0.500 0.500 0.000
0.000 0.000 0.000
0.500 0.246 0.243
0.500 0.754 0.757
0.000 0.250 0.755
0.000 0.750 0.245
```

Values from the calculation:
- Total DFT energy (no corrections): -42.00 eV per formula unit
- DOS at the Fermi energy: 3.4 states/eV/f.u.
- Formation energy without anion corrections: -1.861 eV/atom


Material: CaDy2ErSe4
Method: DFT, PBE
State: optimized geometry

Structure (POSCAR):
```
CaDy2ErSe4
1.0
-1.471 -1.298 3.568
5.133 -4.863 0.348
2.243 5.976 3.098
Ca Dy Er Se
1 2 1 4
direct
0.000 0.000 0.000
0.500 0.000 0.500
0.000 0.500 0.500
0.500 0.500 0.000
0.500 0.253 0.250
0.500 0.747 0.750
0.000 0.253 0.752
0.000 0.747 0.248
```

Values from the calculation:
- Total DFT energy (no corrections): -44.05 eV per formula unit
- DOS at the Fermi energy: 2.9 states/eV/f.u.
- Formation energy without anion corrections: -1.793 eV/atom


Please write out number 2 again, unchanged.
Material: Ca4DyEr3Se8
Method: DFT, PBE
State: optimized geometry

Structure (POSCAR):
```
Ca4DyEr3Se8
1.0
8.181 0.000 0.000
0.000 8.283 0.066
-4.090 -4.087 5.788
Ca Dy Er Se
4 1 3 8
direct
0.500 0.000 0.000
0.500 0.000 0.500
0.000 0.000 0.000
0.000 0.000 0.500
0.000 0.500 0.000
0.500 0.500 0.000
0.500 0.500 0.500
0.000 0.500 0.500
0.249 0.744 0.995
0.249 0.744 0.498
0.253 0.258 0.505
0.746 0.744 0.995
0.254 0.256 0.005
0.747 0.742 0.495
0.751 0.256 0.502
0.751 0.256 0.005
```

Values from the calculation:
- Total DFT energy (no corrections): -83.88 eV per formula unit
- DOS at the Fermi energy: 5.3 states/eV/f.u.
- Formation energy without anion corrections: -1.857 eV/atom


Q: DOS at the Fermi energy of number 2 (Ca4DyEr3Se8)?
A: 5.3 states/eV/f.u.